[1]
Below is crystalline BaGa3Ag6 at its relaxed geometry, with properties calculated at the PBE level.

Properties
Energy of formation from the pure elements (meV/atom): -99
Space-group type: P2_1/c

Cell lengths 7.280, 7.215, 9.202 Å; angles 90.00, 119.76, 90.00 degrees
Sites, in units of the cell vectors:
Ba 0.000 0.000 0.000
Ba 0.000 0.500 0.500
Ga 0.254 0.177 0.410
Ga 0.254 0.323 0.910
Ga 0.500 0.000 0.000
Ga 0.500 0.500 0.500
Ga 0.746 0.677 0.090
Ga 0.746 0.823 0.590
Ag 0.144 0.006 0.675
Ag 0.144 0.494 0.175
Ag 0.260 0.682 0.902
Ag 0.260 0.818 0.402
Ag 0.481 0.224 0.244
Ag 0.481 0.276 0.744
Ag 0.519 0.724 0.256
Ag 0.519 0.776 0.756
Ag 0.740 0.182 0.598
Ag 0.740 0.318 0.098
Ag 0.856 0.506 0.825
Ag 0.856 0.994 0.325

[2]
Below is crystalline TbDyYTm at its relaxed geometry, with properties calculated at the PBE level.

Properties
Energy of formation from the pure elements (meV/atom): 136
Energy relative to the lowest polymorph listed for this composition (meV per atom): 113
Space-group type: F-43m

Cell lengths 5.654, 5.654, 5.654 Å; angles 60.00, 60.00, 60.00 degrees
Sites, in units of the cell vectors:
Tb 0.000 0.000 0.000
Dy 0.500 0.500 0.500
Y 0.250 0.250 0.250
Tm 0.750 0.750 0.750

[3]
Below is crystalline TbErHf2 at its relaxed geometry, with properties calculated at the PBE level.

Properties
Energy of formation from the pure elements (meV/atom): 188
Space-group type: P4/mmm

Cell lengths 4.646, 4.646, 4.789 Å; angles 90.00, 90.00, 90.00 degrees
Sites, in units of the cell vectors:
Tb 0.000 0.000 0.000
Er 0.500 0.500 0.000
Hf 0.000 0.500 0.500
Hf 0.500 0.000 0.500

[4]
Below is crystalline Ti2TeMoPb at its relaxed geometry, with properties calculated at the PBE level.

Properties
Formation energy without anion corrections (meV per atom): 611
Space-group type: P4/mmm

Cell lengths 4.897, 4.897, 5.139 Å; angles 90.00, 90.00, 90.00 degrees
Sites, in units of the cell vectors:
Ti 0.000 0.500 0.000
Ti 0.500 0.000 0.000
Te 0.000 0.000 0.500
Mo 0.000 0.000 0.000
Pb 0.500 0.500 0.500

[5]
Below is crystalline NdAs2Pd5 at its relaxed geometry, with properties calculated at the PBE level.

Properties
Energy of formation from the pure elements (meV/atom): -639
Space-group type: Immm

Cell lengths 6.359, 6.359, 6.359 Å; angles 141.88, 110.19, 82.42 degrees
Sites, in units of the cell vectors:
Nd 0.000 0.000 0.000
As 0.246 0.746 0.500
As 0.754 0.254 0.500
Pd 0.158 0.350 0.807
Pd 0.457 0.650 0.807
Pd 0.500 0.000 0.500
Pd 0.543 0.350 0.193
Pd 0.842 0.650 0.193

[6]
Below is crystalline AcCdIO at its relaxed geometry, with properties calculated at the PBE level.

Properties
Formation energy without anion corrections (meV per atom): -1986
Space-group type: P4/nmm

Cell lengths 4.280, 4.280, 13.905 Å; angles 90.00, 90.00, 90.00 degrees
Sites, in units of the cell vectors:
Ac 0.250 0.250 0.091
Ac 0.750 0.750 0.909
Cd 0.250 0.750 0.500
Cd 0.750 0.250 0.500
I 0.250 0.250 0.769
I 0.750 0.750 0.231
O 0.250 0.750 0.000
O 0.750 0.250 0.000

[7]
Below is crystalline ZrAl2Ag2 at its relaxed geometry, with properties calculated at the PBE level.

Properties
Energy of formation from the pure elements (meV/atom): -165
Energy relative to the lowest polymorph listed for this composition (meV per atom): 0
Space-group type: I4/mmm

Cell lengths 6.512, 6.512, 6.512 Å; angles 144.48, 144.48, 51.12 degrees
Sites, in units of the cell vectors:
Zr 0.000 0.000 0.000
Al 0.397 0.397 0.000
Al 0.603 0.603 0.000
Ag 0.250 0.750 0.500
Ag 0.750 0.250 0.500

[8]
Below is crystalline KLaPd2 at its relaxed geometry, with properties calculated at the PBE level.

Properties
Energy of formation from the pure elements (meV/atom): -274
Energy relative to the lowest polymorph listed for this composition (meV per atom): 0
Space-group type: Fm-3m

Cell lengths 5.204, 5.204, 5.204 Å; angles 60.00, 60.00, 60.00 degrees
Sites, in units of the cell vectors:
K 0.000 0.000 0.000
La 0.500 0.500 0.500
Pd 0.250 0.250 0.250
Pd 0.750 0.750 0.750

Number 6 is which compound?
AcCdIO